{
  "formula": "ErV2NiO8",
  "functional": "PBE+U",
  "state": "relaxed",
  "dos_ef_per_ev_atom": 0.351,
  "e_tot_ev_per_cell": -84.6,
  "spacegroup": "No. 164",
  "lattice": [[5.750, 0.000, 0.000], [-2.875, 4.979, 0.000], [0.000, 0.000, 5.809]],
  "species": ["Er", "V", "V", "Ni", "O", "O", "O", "O", "O", "O", "O", "O"],
  "frac_coords": [[0.000, 0.000, 0.000], [0.333, 0.667, 0.644], [0.667, 0.333, 0.356], [0.000, 0.000, 0.500], [0.161, 0.322, 0.731], [0.161, 0.839, 0.731], [0.322, 0.161, 0.269], [0.333, 0.667, 0.361], [0.667, 0.333, 0.639], [0.678, 0.839, 0.731], [0.839, 0.161, 0.269], [0.839, 0.678, 0.269]]
}